No. 1
First-principles (PBE) data for AlMo2Rh after structural relaxation, as listed in Alexandria.

For the energy of formation from the pure elements, the calculation gives -0.091 eV/atom. For the total energy, the calculation gives -8.28 eV/atom.

It has space group R3m (No. 160, hexagonal axes), with a = 2.8051 Å, b = 2.8051 Å, c = 26.8385 Å, α = 90.00°, β = 90.00° and γ = 120.00°. The asymmetric unit holds Al at (0.0000, 0.0000, 0.0000), Mo at (0.0000, 0.0000, 0.5085), Mo at (0.0000, 0.0000, 0.7515) and Rh at (0.0000, 0.0000, 0.2565).

***

No. 2
First-principles (PBE) data for Pm8IrRu2 after structural relaxation, as listed in Alexandria.

For the energy of formation from the pure elements, the calculation gives -0.243 eV/atom. For the total energy, the calculation gives -6.19 eV/atom.

It has space group C2/m (No. 12), with a = 17.946 Å, b = 4.988 Å, c = 6.947 Å, α = 90.00°, β = 105.72° and γ = 90.00°. The asymmetric unit holds Pm at (0.032, 0.000, 0.290), Pm at (0.094, 0.500, 0.949), Pm at (0.168, 0.500, 0.468), Pm at (0.205, 0.000, 0.819), Ir at (0.000, 0.500, 0.500) and Ru at (0.187, 0.000, 0.205).

***

No. 3
First-principles (PBE) data for KBeSi after structural relaxation, as listed in Alexandria.

The calculation puts the uncorrected formation energy at 0.5375 eV/atom. Its energy above the most stable polymorph in this dataset is 230 meV/atom. For the total energy, the calculation gives -2.88 eV/atom.

It has space group I4mm (No. 107), with a = 3.341 Å, b = 3.341 Å, c = 11.910 Å, α = 90.00°, β = 90.00° and γ = 90.00°. The asymmetric unit holds K at (0.000, 0.000, 0.000), Be at (0.000, 0.000, 0.741) and Si at (0.000, 0.000, 0.273).

***

No. 4
First-principles (PBE) data for Pm6SbP2S3 after structural relaxation, as listed in Alexandria.

The calculation puts the uncorrected formation energy at -1.7447 eV/atom. For the total energy, the calculation gives -6.40 eV/atom.

It has space group C2/m (No. 12), with a = 18.079 Å, b = 4.148 Å, c = 8.322 Å, α = 90.00°, β = 102.89° and γ = 90.00°. The asymmetric unit holds Pm at (0.004, 0.000, 0.269), Pm at (0.169, 0.500, 0.579), Pm at (0.174, 0.500, 0.097), Sb at (0.000, 0.500, 0.000), P at (0.168, 0.000, 0.335), S at (0.000, 0.500, 0.500) and S at (0.164, 0.000, 0.833).

***

No. 5
First-principles (PBE) data for TaCoSe2 after structural relaxation, as listed in Alexandria.

The calculation puts the uncorrected formation energy at -0.1055 eV/atom. For the total energy, the calculation gives -6.59 eV/atom.

It has space group P2/m (No. 10), with a = 3.280 Å, b = 3.229 Å, c = 6.329 Å, α = 90.00°, β = 100.86° and γ = 90.00°. The asymmetric unit holds Ta at (0.000, 0.000, 0.000), Co at (0.000, 0.000, 0.500) and Se at (0.390, 0.500, 0.756).

***

No. 6
First-principles (PBE) data for Rb3Y2PuS6 after structural relaxation, as listed in Alexandria.

The calculation puts the uncorrected formation energy at -1.7416 eV/atom. For the total energy, the calculation gives -6.32 eV/atom.

It has space group C2/m (No. 12), with a = 7.132 Å, b = 12.353 Å, c = 8.028 Å, α = 90.00°, β = 107.22° and γ = 90.00°. The asymmetric unit holds Rb at (0.000, 0.000, 0.000), Rb at (0.000, 0.333, 0.000), Y at (0.000, 0.167, 0.500), Pu at (0.000, 0.500, 0.500), S at (0.228, 0.000, 0.692) and S at (0.232, 0.332, 0.692).

***

No. 7
First-principles (PBE) data for BaReRh after structural relaxation, as listed in Alexandria.

For the energy of formation from the pure elements, the calculation gives 1.044 eV/atom. Its energy above the most stable polymorph in this dataset is 921 meV/atom. For the total energy, the calculation gives -6.20 eV/atom.

It has space group P3m1 (No. 156), with a = 3.0289 Å, b = 3.0289 Å, c = 7.8772 Å, α = 90.00°, β = 90.00° and γ = 120.00°. The asymmetric unit holds Ba at (0.0000, 0.0000, 0.0000), Re at (0.6667, 0.3333, 0.3845) and Rh at (0.3333, 0.6667, 0.6297).

***

No. 8
First-principles (PBE) data for TlTePH after structural relaxation, as listed in Alexandria.

Its energy above the most stable polymorph in this dataset is 228 meV/atom. For the total energy, the calculation gives -3.28 eV/atom.

It has space group P1 (No. 1), with a = 3.795 Å, b = 4.164 Å, c = 6.380 Å, α = 95.18°, β = 90.06° and γ = 90.03°. The asymmetric unit holds Tl at (0.000, 0.000, 0.000), Te at (0.502, 0.226, 0.517), P at (0.500, 0.500, 0.198) and H at (0.505, 0.570, 0.691).

***

No. 9
First-principles (PBE) data for Er6Tl3Ga after structural relaxation, as listed in Alexandria.

For the energy of formation from the pure elements, the calculation gives -0.219 eV/atom. For the total energy, the calculation gives -3.97 eV/atom.

It has space group P2_1/m (No. 11), with a = 11.534 Å, b = 3.644 Å, c = 13.919 Å, α = 90.00°, β = 105.69° and γ = 90.00°. The asymmetric unit holds Er at (0.008, 0.250, 0.178), Er at (0.104, 0.750, 0.411), Er at (0.248, 0.250, 0.832), Er at (0.325, 0.250, 0.257), Er at (0.374, 0.250, 0.637), Er at (0.388, 0.750, 0.045), Tl at (0.128, 0.750, 0.641), Tl at (0.148, 0.250, 0.018), Tl at (0.384, 0.750, 0.451) and Ga at (0.455, 0.750, 0.817).

***

No. 10
First-principles (PBE) data for CuAgF3 after structural relaxation, as listed in Alexandria.

The calculation puts the uncorrected formation energy at -1.3028 eV/atom. Its energy above the most stable polymorph in this dataset is 10 meV/atom. For the total energy, the calculation gives -3.82 eV/atom.

It has space group Cm (No. 8), with a = 7.935 Å, b = 7.939 Å, c = 4.052 Å, α = 90.00°, β = 90.05° and γ = 90.00°. The asymmetric unit holds Cu at (0.000, 0.250, 0.000), Ag at (0.249, 0.000, 0.499), Ag at (0.250, 0.500, 0.499), F at (0.000, 0.250, 0.500), F at (0.058, 0.500, 0.999), F at (0.250, 0.191, 0.999) and F at (0.441, 0.500, 0.999).

***

No. 11
First-principles (PBE) data for YNO2F after structural relaxation, as listed in Alexandria.

The calculation puts the uncorrected formation energy at -0.6567 eV/atom. For the total energy, the calculation gives -5.97 eV/atom.

It has space group P4/mmm (No. 123), with a = 4.542 Å, b = 4.542 Å, c = 4.396 Å, α = 90.00°, β = 90.00° and γ = 90.00°. The asymmetric unit holds Y at (0.000, 0.000, 0.000), N at (0.500, 0.500, 0.500), O at (0.000, 0.500, 0.000) and F at (0.000, 0.000, 0.500).

***

No. 12
First-principles (PBE) data for Rb2CdHgSb after structural relaxation, as listed in Alexandria.

The calculation puts the uncorrected formation energy at -0.1574 eV/atom. For the total energy, the calculation gives -1.61 eV/atom.

It has space group P4/mmm (No. 123), with a = 7.136 Å, b = 7.136 Å, c = 5.709 Å, α = 90.00°, β = 90.00° and γ = 90.00°. The asymmetric unit holds Rb at (0.000, 0.500, 0.000), Cd at (0.000, 0.000, 0.500), Hg at (0.500, 0.500, 0.500) and Sb at (0.000, 0.000, 0.000).